# Li2MnIn, optimized geometry, DFT PBEsol
# * calculated formation energy: 59 kJ/mol of formula units
# * V: 136.1 Å³/cell
data_Li2MnIn
_chemical_formula_sum 'Li4 Mn2 In2'
_cell_length_a 5.490
_cell_length_b 9.621
_cell_length_c 2.864
_cell_angle_alpha 90.00
_cell_angle_beta 115.89
_cell_angle_gamma 90.00
_symmetry_space_group_name_H-M 'C 1 2/m 1'
_symmetry_Int_Tables_number 12
_symmetry_space_group_name_Hall '-C 2y'
loop_
_atom_site_label
_atom_site_type_symbol
_atom_site_fract_x
_atom_site_fract_y
_atom_site_fract_z
_atom_site_occupancy
Li1 Li 0.250 0.250 0.000 1
Mn1 Mn 0.000 0.000 0.500 1
In1 In 0.000 0.500 0.500 1

---

# Li2MnIn, optimized geometry, DFT PBEsol
# * calculated formation energy: 51 kJ/mol of formula units
# * V: 67.3 Å³/cell
data_Li2MnIn
_chemical_formula_sum 'Li2 Mn1 In1'
_cell_length_a 2.876
_cell_length_b 4.764
_cell_length_c 4.932
_cell_angle_alpha 90.00
_cell_angle_beta 95.12
_cell_angle_gamma 90.00
_symmetry_space_group_name_H-M 'P 1 2/m 1'
_symmetry_Int_Tables_number 10
_symmetry_space_group_name_Hall '-P 2y'
loop_
_atom_site_label
_atom_site_type_symbol
_atom_site_fract_x
_atom_site_fract_y
_atom_site_fract_z
_atom_site_occupancy
Li1 Li 0.249 0.000 0.242 1
Mn1 Mn 0.500 0.500 0.000 1
In1 In 0.000 0.500 0.500 1

---

# LiInMo2, optimized geometry, DFT PBEsol
# * calculated formation energy: 87 kJ/mol of formula units
# * V: 62.6 Å³/cell
data_LiInMo2
_chemical_formula_sum 'Li1 In1 Mo2'
_cell_length_a 3.394
_cell_length_b 3.998
_cell_length_c 4.614
_cell_angle_alpha 90.00
_cell_angle_beta 90.00
_cell_angle_gamma 90.00
_symmetry_space_group_name_H-M 'P m m m'
_symmetry_Int_Tables_number 47
_symmetry_space_group_name_Hall '-P 2 2'
loop_
_atom_site_label
_atom_site_type_symbol
_atom_site_fract_x
_atom_site_fract_y
_atom_site_fract_z
_atom_site_occupancy
Li1 Li 0.000 0.000 0.000 1
In1 In 0.500 0.500 0.000 1
Mo1 Mo 0.000 0.500 0.500 1
Mo2 Mo 0.500 0.000 0.500 1

---

# LiIn2Mo2, optimized geometry, DFT PBEsol
# * calculated formation energy: 158 kJ/mol of formula units
# * V: 193.0 Å³/cell
data_LiIn2Mo2
_chemical_formula_sum 'Li2 In4 Mo4'
_cell_length_a 3.650
_cell_length_b 3.650
_cell_length_c 14.489
_cell_angle_alpha 90.00
_cell_angle_beta 90.00
_cell_angle_gamma 90.00
_symmetry_space_group_name_H-M 'I 4/m m m'
_symmetry_Int_Tables_number 139
_symmetry_space_group_name_Hall '-I 4 2'
loop_
_atom_site_label
_atom_site_type_symbol
_atom_site_fract_x
_atom_site_fract_y
_atom_site_fract_z
_atom_site_occupancy
Li1 Li 0.000 0.000 0.000 1
In1 In 0.000 0.000 0.402 1
Mo1 Mo 0.000 0.500 0.250 1

---

# LiInMo2Pb, optimized geometry, DFT PBEsol
# * calculated formation energy: 928 kJ/mol of formula units
# * V: 150.1 Å³/cell
data_LiInMo2Pb
_chemical_formula_sum 'Li1 In1 Mo2 Pb1'
_cell_length_a 5.189
_cell_length_b 5.189
_cell_length_c 5.575
_cell_angle_alpha 90.00
_cell_angle_beta 90.00
_cell_angle_gamma 90.00
_symmetry_space_group_name_H-M 'P 4/m m m'
_symmetry_Int_Tables_number 123
_symmetry_space_group_name_Hall '-P 4 2'
loop_
_atom_site_label
_atom_site_type_symbol
_atom_site_fract_x
_atom_site_fract_y
_atom_site_fract_z
_atom_site_occupancy
Li1 Li 0.000 0.000 0.000 1
In1 In 0.500 0.500 0.500 1
Mo1 Mo 0.000 0.500 0.500 1
Pb1 Pb 0.500 0.500 0.000 1

---

# LiInMo6Se6, optimized geometry, DFT PBEsol
# * energy relative to the elements, uncorrected: -0.5190 eV/atom
# * V: 282.1 Å³/cell
data_LiInMo6Se6
_chemical_formula_sum 'Li1 In1 Mo6 Se6'
_cell_length_a 8.5291
_cell_length_b 8.5291
_cell_length_c 4.4777
_cell_angle_alpha 90.00
_cell_angle_beta 90.00
_cell_angle_gamma 120.00
_symmetry_space_group_name_H-M 'P -6'
_symmetry_Int_Tables_number 174
_symmetry_space_group_name_Hall 'P -6'
loop_
_atom_site_label
_atom_site_type_symbol
_atom_site_fract_x
_atom_site_fract_y
_atom_site_fract_z
_atom_site_occupancy
Li1 Li 0.0000 0.0000 0.0000 1
In1 In 0.3333 0.6667 0.5000 1
Mo1 Mo 0.4698 0.2902 0.0000 1
Mo2 Mo 0.5144 0.1365 0.5000 1
Se1 Se 0.0512 0.4154 0.0000 1
Se2 Se 0.2771 0.2421 0.5000 1

---

# LiInTe6Mo6, optimized geometry, DFT PBEsol
# * energy relative to the elements, uncorrected: -0.2910 eV/atom
# * V: 328.8 Å³/cell
data_LiInTe6Mo6
_chemical_formula_sum 'Li1 In1 Te6 Mo6'
_cell_length_a 9.1140
_cell_length_b 9.1140
_cell_length_c 4.5702
_cell_angle_alpha 90.00
_cell_angle_beta 90.00
_cell_angle_gamma 120.00
_symmetry_space_group_name_H-M 'P -6'
_symmetry_Int_Tables_number 174
_symmetry_space_group_name_Hall 'P -6'
loop_
_atom_site_label
_atom_site_type_symbol
_atom_site_fract_x
_atom_site_fract_y
_atom_site_fract_z
_atom_site_occupancy
Li1 Li 0.0000 0.0000 0.0000 1
In1 In 0.3333 0.6667 0.5000 1
Te1 Te 0.0532 0.6394 0.0000 1
Te2 Te 0.2760 0.0274 0.5000 1
Mo1 Mo 0.4829 0.1892 0.0000 1
Mo2 Mo 0.5239 0.3732 0.5000 1

---

# LiInNO2, optimized geometry, DFT PBEsol
# * energy relative to the elements, uncorrected: 0.0862 eV/atom
# * V: 74.5 Å³/cell
data_LiInNO2
_chemical_formula_sum 'Li1 In1 N1 O2'
_cell_length_a 4.171
_cell_length_b 4.171
_cell_length_c 4.284
_cell_angle_alpha 90.00
_cell_angle_beta 90.00
_cell_angle_gamma 90.00
_symmetry_space_group_name_H-M 'P 4/m m m'
_symmetry_Int_Tables_number 123
_symmetry_space_group_name_Hall '-P 4 2'
loop_
_atom_site_label
_atom_site_type_symbol
_atom_site_fract_x
_atom_site_fract_y
_atom_site_fract_z
_atom_site_occupancy
Li1 Li 0.000 0.000 0.000 1
In1 In 0.500 0.500 0.500 1
N1 N 0.500 0.500 0.000 1
O1 O 0.000 0.500 0.500 1

---

# Na3LiIn, optimized geometry, DFT PBEsol
# * calculated formation energy: 119 kJ/mol of formula units
# * V: 202.2 Å³/cell
data_Na3LiIn
_chemical_formula_sum 'Na3 Li1 In1'
_cell_length_a 5.870
_cell_length_b 5.870
_cell_length_c 5.870
_cell_angle_alpha 90.00
_cell_angle_beta 90.00
_cell_angle_gamma 90.00
_symmetry_space_group_name_H-M 'P m -3 m'
_symmetry_Int_Tables_number 221
_symmetry_space_group_name_Hall '-P 4 2 3'
loop_
_atom_site_label
_atom_site_type_symbol
_atom_site_fract_x
_atom_site_fract_y
_atom_site_fract_z
_atom_site_occupancy
Na1 Na 0.000 0.000 0.500 1
Li1 Li 0.500 0.500 0.500 1
In1 In 0.000 0.000 0.000 1

---

# NaLi2In2, optimized geometry, DFT PBEsol
# * calculated formation energy: -108 kJ/mol of formula units
# * V: 218.7 Å³/cell
data_NaLi2In2
_chemical_formula_sum 'Na2 Li4 In4'
_cell_length_a 8.363
_cell_length_b 8.363
_cell_length_c 3.126
_cell_angle_alpha 90.00
_cell_angle_beta 90.00
_cell_angle_gamma 90.00
_symmetry_space_group_name_H-M 'P 4/m b m'
_symmetry_Int_Tables_number 127
_symmetry_space_group_name_Hall '-P 4 2ab'
loop_
_atom_site_label
_atom_site_type_symbol
_atom_site_fract_x
_atom_site_fract_y
_atom_site_fract_z
_atom_site_occupancy
Na1 Na 0.000 0.000 0.000 1
Li1 Li 0.173 0.327 0.500 1
In1 In 0.125 0.625 0.000 1

---

# NaLiIn3, optimized geometry, DFT PBEsol
# * calculated formation energy: 227 kJ/mol of formula units
# * V: 161.0 Å³/cell
data_NaLiIn3
_chemical_formula_sum 'Na1 Li1 In3'
_cell_length_a 5.440
_cell_length_b 5.440
_cell_length_c 5.440
_cell_angle_alpha 90.00
_cell_angle_beta 90.00
_cell_angle_gamma 90.00
_symmetry_space_group_name_H-M 'P m -3 m'
_symmetry_Int_Tables_number 221
_symmetry_space_group_name_Hall '-P 4 2 3'
loop_
_atom_site_label
_atom_site_type_symbol
_atom_site_fract_x
_atom_site_fract_y
_atom_site_fract_z
_atom_site_occupancy
Na1 Na 0.000 0.000 0.000 1
Li1 Li 0.500 0.500 0.500 1
In1 In 0.000 0.000 0.500 1

---

# Li4NbIn3P6O24, optimized geometry, DFT PBEsol
# * energy relative to the elements, uncorrected: -2.2332 eV/atom
# * V: 963.5 Å³/cell
data_Li4NbIn3P6O24
_chemical_formula_sum 'Li8 Nb2 In6 P12 O48'
_cell_length_a 8.747
_cell_length_b 8.915
_cell_length_c 15.133
_cell_angle_alpha 90.00
_cell_angle_beta 125.27
_cell_angle_gamma 90.00
_symmetry_space_group_name_H-M 'P 1 c 1'
_symmetry_Int_Tables_number 7
_symmetry_space_group_name_Hall 'P -2yc'
loop_
_atom_site_label
_atom_site_type_symbol
_atom_site_fract_x
_atom_site_fract_y
_atom_site_fract_z
_atom_site_occupancy
Li1 Li 0.000 0.025 0.000 1
Li2 Li 0.071 0.472 0.637 1
Li3 Li 0.420 0.465 0.491 1
Li4 Li 0.649 0.028 0.139 1
Nb1 Nb 0.672 0.294 0.707 1
In1 In 0.174 0.208 0.205 1
In2 In 0.401 0.210 0.934 1
In3 In 0.899 0.287 0.433 1
P1 P 0.079 0.355 0.966 1
P2 P 0.296 0.148 0.471 1
P3 P 0.491 0.490 0.319 1
P4 P 0.581 0.007 0.819 1
P5 P 0.789 0.357 0.171 1
P6 P 0.992 0.143 0.672 1
O1 O 0.001 0.266 0.603 1
O2 O 0.039 0.495 0.499 1
O3 O 0.082 0.225 0.034 1
O4 O 0.127 0.135 0.477 1
O5 O 0.142 0.161 0.791 1
O6 O 0.247 0.209 0.364 1
O7 O 0.262 0.367 0.975 1
O8 O 0.306 0.421 0.225 1
O9 O 0.405 0.001 0.006 1
O10 O 0.416 0.094 0.244 1
O11 O 0.432 0.271 0.557 1
O12 O 0.455 0.425 0.893 1
O13 O 0.552 0.398 0.764 1
O14 O 0.556 0.123 0.882 1
O15 O 0.617 0.097 0.741 1
O16 O 0.642 0.375 0.386 1
O17 O 0.643 0.236 0.100 1
O18 O 0.688 0.484 0.638 1
O19 O 0.768 0.074 0.396 1
O20 O 0.797 0.161 0.655 1
O21 O 0.870 0.328 0.289 1
O22 O 0.914 0.322 0.844 1
O23 O 0.945 0.365 0.153 1
O24 O 0.996 0.014 0.131 1

---

Number 1: N(E_F) 2.69 states/eV/f.u.. Number 2: N(E_F) 2.63 states/eV/f.u.. Number 3: N(E_F) 2.39 states/eV/f.u.. Number 4: N(E_F) 3.49 states/eV/f.u.. Number 5: N(E_F) 3.71 states/eV/f.u.. Number 6: N(E_F) 1.71 states/eV/f.u.. Number 7: N(E_F) 1.98 states/eV/f.u.. Number 8: N(E_F) 2.57 states/eV/f.u.. Number 9: N(E_F) 3.30 states/eV/f.u.. Number 10: N(E_F) 1.38 states/eV/f.u.. Number 11: N(E_F) 3.08 states/eV/f.u.. Number 12: N(E_F) 0.00 states/eV/f.u..